The following is a DFT calculation (PBE) of crystalline Tb2HoEr4Sc at its relaxed geometry.

a = 4.942 Å, b = 4.943 Å, c = 11.027 Å
α = 63.37°, β = 90.00°, γ = 90.00°
Fractional coordinates of all 8 atoms:
Er: 0.000 0.754 0.746
Er: 0.000 0.246 0.254
Er: 0.500 0.746 0.254
Er: 0.500 0.254 0.746
Tb: 0.000 0.000 0.000
Tb: 0.500 0.000 0.500
Ho: 0.500 0.500 0.000
Sc: 0.000 0.500 0.500

## Properties
**Density of states at the Fermi level**: 11.63 states/eV/f.u.
**Formation enthalpy at 0 K**: 0.03 eV per atom
**V**: 30.10 A^3/atom
**Spin magnetization**: 0.000 μB per formula unit
**Calculated total energy**: -4.770 eV/atom